Entry 1:
A geometry-optimized RbZnO2 structure, computed with PBE-GGA.

Lattice parameters (Å, degrees): 7.278 7.278 7.278 30.14 30.14 30.14
Atoms (fractional coordinates):
Rb  0.500  0.500  0.500
O  0.917  0.917  0.917
Zn  0.000  0.000  0.000
O  0.083  0.083  0.083

Values from the calculation:
Formation energy from raw total energies   -0.77 eV per atom
Final energy   -3.81 eV/atom
V   21.53 A^3/atom


Entry 2:
A geometry-optimized RbZnO structure, computed with PBE-GGA.

Lattice parameters (Å, degrees): 7.442 5.487 6.735 65.65 86.85 42.93
Atoms (fractional coordinates):
Rb  0.275  0.194  0.342
Zn  0.800  0.380  0.919
O  0.938  0.372  0.659
Rb  0.852  0.039  0.497
Zn  0.327  0.853  0.920
O  0.189  0.861  0.180

Values from the calculation:
Formation energy from raw total energies   -1.07 eV per atom
Final energy   -3.47 eV/atom
V   26.10 A^3/atom
E above lowest polymorph   0 meV per atom


Entry 3:
A geometry-optimized Rb3ZnO2 structure, computed with PBE-GGA.

Lattice parameters (Å, degrees): 5.908 7.885 11.530 109.99 104.84 90.00
Atoms (fractional coordinates):
Rb  0.500  0.750  0.000
Rb  0.851  0.601  0.702
Rb  0.149  0.399  0.298
Rb  0.500  0.250  0.000
O  0.123  0.934  0.868
O  0.256  0.566  0.132
O  0.744  0.434  0.868
Rb  0.149  0.899  0.298
Zn  0.000  0.000  0.000
O  0.877  0.066  0.132
Rb  0.851  0.101  0.702
Zn  0.000  0.500  0.000

Values from the calculation:
Formation energy from raw total energies   -1.00 eV per atom
Final energy   -3.35 eV/atom
V   40.47 A^3/atom


Entry 4:
A geometry-optimized Rb3ZnO structure, computed with PBE-GGA.

Lattice parameters (Å, degrees): 5.730 5.730 5.730 90.00 90.00 90.00
Atoms (fractional coordinates):
Rb  0.000  0.500  0.000
Rb  0.000  0.000  0.500
O  0.000  0.000  0.000
Rb  0.500  0.000  0.000
Zn  0.500  0.500  0.500

Values from the calculation:
Formation energy from raw total energies   -0.41 eV per atom
Final energy   -2.24 eV/atom
V   37.63 A^3/atom
E above lowest polymorph   0 meV per atom


Entry 5:
A geometry-optimized RbZn6O6 structure, computed with PBE-GGA.

Lattice parameters (Å, degrees): 5.802 5.802 5.802 90.00 90.00 90.00
Atoms (fractional coordinates):
O  0.242  0.000  0.500
O  0.000  0.500  0.242
O  0.500  0.758  0.000
Zn  0.261  0.500  0.000
Zn  0.500  0.000  0.261
Zn  0.500  0.000  0.739
Zn  0.000  0.261  0.500
O  0.758  0.000  0.500
O  0.000  0.500  0.758
O  0.500  0.242  0.000
Rb  0.000  0.000  0.000
Zn  0.000  0.739  0.500
Zn  0.739  0.500  0.000

Values from the calculation:
Formation energy from raw total energies   -1.25 eV per atom
Final energy   -4.20 eV/atom
V   15.03 A^3/atom


Entry 6:
A geometry-optimized Rb2Zn2O3 structure, computed with PBE-GGA.

Lattice parameters (Å, degrees): 3.515 7.218 6.516 128.42 105.65 90.00
Atoms (fractional coordinates):
Rb  0.434  0.210  0.868
Zn  0.810  0.695  0.620
Zn  0.190  0.305  0.380
O  0.000  0.000  0.000
O  0.796  0.385  0.593
O  0.204  0.615  0.407
Rb  0.566  0.790  0.132

Values from the calculation:
Formation energy from raw total energies   -1.31 eV per atom
Final energy   -4.07 eV/atom
V   17.37 A^3/atom


Entry 7:
A geometry-optimized RbZnO2 structure, computed with PBE-GGA.

Lattice parameters (Å, degrees): 3.152 6.303 7.038 108.04 90.00 90.00
Atoms (fractional coordinates):
O  0.250  0.298  0.000
Zn  0.750  0.352  0.834
O  0.750  0.687  0.350
Rb  0.750  0.188  0.298
O  0.250  0.313  0.650
O  0.750  0.702  0.000
Rb  0.250  0.812  0.702
Zn  0.250  0.648  0.166

Values from the calculation:
Formation energy from raw total energies   -1.03 eV per atom
Final energy   -4.07 eV/atom
V   16.62 A^3/atom


Entry 8:
A geometry-optimized RbZnO2 structure, computed with PBE-GGA.

Lattice parameters (Å, degrees): 7.156 7.156 7.156 26.07 26.07 26.07
Atoms (fractional coordinates):
O  0.882  0.882  0.882
Zn  0.500  0.500  0.500
Rb  0.000  0.000  0.000
O  0.118  0.118  0.118

Values from the calculation:
Formation energy from raw total energies   -0.63 eV per atom
Final energy   -3.67 eV/atom
V   15.59 A^3/atom


Entry 9:
A geometry-optimized RbZnO2 structure, computed with PBE-GGA.

Lattice parameters (Å, degrees): 6.091 6.091 5.715 57.80 57.80 90.00
Atoms (fractional coordinates):
Zn  0.500  0.500  0.000
Rb  0.750  0.250  0.500
O  0.254  0.625  0.250
Rb  0.000  0.000  0.000
O  0.375  0.504  0.750
Zn  0.250  0.750  0.500
O  0.496  0.125  0.250
O  0.875  0.746  0.750

Values from the calculation:
Formation energy from raw total energies   -1.07 eV per atom
Final energy   -4.11 eV/atom
V   17.42 A^3/atom


Entry 10:
A geometry-optimized Rb6ZnO4 structure, computed with PBE-GGA.

Lattice parameters (Å, degrees): 6.962 9.059 9.059 120.00 90.00 90.00
Atoms (fractional coordinates):
Rb  0.131  0.463  0.537
Rb  0.131  0.075  0.537
O  0.444  0.333  0.667
Rb  0.468  0.709  0.855
Rb  0.968  0.855  0.145
O  0.338  0.411  0.206
O  0.944  0.667  0.333
Rb  0.131  0.463  0.925
Rb  0.468  0.145  0.855
Rb  0.968  0.855  0.709
O  0.838  0.589  0.794
Rb  0.631  0.537  0.463
Rb  0.468  0.145  0.291
O  0.338  0.794  0.206
Rb  0.968  0.291  0.145
O  0.338  0.794  0.589
O  0.838  0.206  0.794
Rb  0.631  0.537  0.075
Rb  0.631  0.925  0.463
O  0.838  0.206  0.411
Zn  0.739  0.333  0.667
Zn  0.239  0.667  0.333

Values from the calculation:
Formation energy from raw total energies   -1.06 eV per atom
Final energy   -3.50 eV/atom
V   22.49 A^3/atom


Entry 11:
A geometry-optimized RbZn2O2 structure, computed with PBE-GGA.

Lattice parameters (Å, degrees): 6.143 6.143 5.802 107.38 107.38 115.83
Atoms (fractional coordinates):
Rb  0.125  0.375  0.250
Zn  0.510  0.260  0.020
Zn  0.760  0.010  0.520
O  0.815  0.685  0.250
Rb  0.875  0.625  0.750
Zn  0.240  0.990  0.480
O  0.185  0.315  0.750
O  0.435  0.065  0.250
Zn  0.490  0.740  0.980
O  0.565  0.935  0.750

Values from the calculation:
Formation energy from raw total energies   -0.95 eV per atom
Final energy   -3.63 eV/atom
V   16.29 A^3/atom
E above lowest polymorph   0 meV per atom


Entry 12:
A geometry-optimized Rb3ZnO3 structure, computed with PBE-GGA.

Lattice parameters (Å, degrees): 5.940 8.111 8.111 120.00 90.00 90.00
Atoms (fractional coordinates):
Rb  0.750  0.362  0.089
O  0.250  0.423  0.118
O  0.750  0.118  0.694
Rb  0.750  0.911  0.273
O  0.750  0.577  0.882
O  0.250  0.882  0.306
O  0.750  0.306  0.423
Zn  0.250  0.667  0.333
Rb  0.750  0.727  0.638
Zn  0.750  0.333  0.667
Rb  0.250  0.273  0.362
Rb  0.250  0.638  0.911
O  0.250  0.694  0.577
Rb  0.250  0.089  0.727

Values from the calculation:
Formation energy from raw total energies   -1.11 eV per atom
Final energy   -3.83 eV/atom
V   24.18 A^3/atom
E above lowest polymorph   8 meV per atom


Entry 13:
A geometry-optimized Rb3ZnO3 structure, computed with PBE-GGA.

Lattice parameters (Å, degrees): 6.894 6.894 6.891 95.91 95.91 112.60
Atoms (fractional coordinates):
Rb  0.186  0.814  0.500
Rb  0.250  0.750  0.000
Rb  0.750  0.250  0.000
O  0.165  0.433  0.273
Zn  0.171  0.171  0.145
Rb  0.376  0.376  0.663
O  0.567  0.835  0.727
O  0.433  0.165  0.273
O  0.093  0.093  0.848
O  0.835  0.567  0.727
Rb  0.814  0.186  0.500
Rb  0.624  0.624  0.337
Zn  0.829  0.829  0.855
O  0.907  0.907  0.152

Values from the calculation:
Formation energy from raw total energies   -1.12 eV per atom
Final energy   -3.84 eV/atom
V   21.22 A^3/atom
E above lowest polymorph   0 meV per atom


Entry 14:
A geometry-optimized RbZn3O structure, computed with PBE-GGA.

Lattice parameters (Å, degrees): 6.876 6.876 6.876 90.00 90.00 90.00
Atoms (fractional coordinates):
Rb  0.000  0.000  0.000
O  0.500  0.500  0.500
Zn  0.000  0.500  0.000
Zn  0.000  0.000  0.500
Zn  0.500  0.000  0.000

Values from the calculation:
Formation energy from raw total energies   1.12 eV per atom
Final energy   -0.83 eV/atom
V   65.01 A^3/atom
E above lowest polymorph   874 meV per atom


Entry 15:
A geometry-optimized RbZn3O structure, computed with PBE-GGA.

Lattice parameters (Å, degrees): 4.842 4.842 4.842 90.00 90.00 90.00
Atoms (fractional coordinates):
Zn  0.000  0.000  0.500
O  0.000  0.000  0.000
Zn  0.500  0.000  0.000
Rb  0.500  0.500  0.500
Zn  0.000  0.500  0.000

Values from the calculation:
Formation energy from raw total energies   0.25 eV per atom
Final energy   -1.70 eV/atom
V   22.70 A^3/atom
E above lowest polymorph   0 meV per atom


Entry 16:
A geometry-optimized RbZn2O2 structure, computed with PBE-GGA.

Lattice parameters (Å, degrees): 4.037 4.037 6.126 70.77 70.77 90.00
Atoms (fractional coordinates):
O  0.250  0.750  0.500
Zn  0.698  0.698  0.604
O  0.750  0.250  0.500
Zn  0.302  0.302  0.396
Rb  0.000  0.000  0.000

Values from the calculation:
Formation energy from raw total energies   -0.92 eV per atom
Final energy   -3.61 eV/atom
V   17.67 A^3/atom
E above lowest polymorph   28 meV per atom


Entry 17:
A geometry-optimized RbZr3O structure, computed with PBE-GGA.

Lattice parameters (Å, degrees): 4.724 4.724 4.724 90.00 90.00 90.00
Atoms (fractional coordinates):
Zr  0.000  0.500  0.000
Zr  0.000  0.000  0.500
O  0.000  0.000  0.000
Zr  0.500  0.000  0.000
Rb  0.500  0.500  0.500

Values from the calculation:
Formation energy from raw total energies   -0.07 eV per atom
Final energy   -6.38 eV/atom
V   21.09 A^3/atom
E above lowest polymorph   0 meV per atom


Entry 18:
A geometry-optimized Rb2Zr2O5 structure, computed with PBE-GGA.

Lattice parameters (Å, degrees): 4.118 4.118 9.200 90.00 90.00 90.00
Atoms (fractional coordinates):
Rb  0.000  0.000  0.000
Zr  0.500  0.500  0.722
Rb  0.000  0.000  0.500
O  0.500  0.000  0.233
O  0.000  0.500  0.767
O  0.500  0.000  0.767
Zr  0.500  0.500  0.278
O  0.000  0.500  0.233
O  0.500  0.500  0.500

Values from the calculation:
Formation energy from raw total energies   -2.63 eV per atom
Final energy   -7.50 eV/atom
V   17.34 A^3/atom


Entry 19:
A geometry-optimized RbZr6O12 structure, computed with PBE-GGA.

Lattice parameters (Å, degrees): 6.554 6.554 6.554 104.59 104.59 104.59
Atoms (fractional coordinates):
O  0.187  0.458  0.458
O  0.127  0.500  0.873
O  0.458  0.458  0.187
O  0.873  0.500  0.127
O  0.127  0.873  0.500
Zr  0.238  0.238  0.626
Rb  0.000  0.000  0.000
Zr  0.762  0.374  0.762
O  0.500  0.127  0.873
O  0.873  0.127  0.500
O  0.458  0.187  0.458
O  0.500  0.873  0.127
O  0.813  0.542  0.542
Zr  0.762  0.762  0.374
Zr  0.374  0.762  0.762
O  0.542  0.542  0.813
Zr  0.626  0.238  0.238
O  0.542  0.813  0.542
Zr  0.238  0.626  0.238

Values from the calculation:
Formation energy from raw total energies   -2.90 eV per atom
Final energy   -8.78 eV/atom
V   13.07 A^3/atom


Entry 20:
A geometry-optimized Rb2ZrO3 structure, computed with PBE-GGA.

Lattice parameters (Å, degrees): 7.395 7.395 5.931 87.03 87.03 125.25
Atoms (fractional coordinates):
O  0.255  0.853  0.465
O  0.827  0.872  0.709
Zr  0.991  0.095  0.964
Zr  0.095  0.991  0.464
Rb  0.742  0.220  0.481
O  0.872  0.827  0.209
Rb  0.220  0.742  0.981
O  0.256  0.215  0.719
Rb  0.622  0.451  0.965
O  0.853  0.255  0.965
O  0.215  0.256  0.219
Rb  0.451  0.622  0.465

Values from the calculation:
Formation energy from raw total energies   -2.38 eV per atom
Final energy   -6.61 eV/atom
V   21.93 A^3/atom


Entry 21:
A geometry-optimized Rb5ZrO5 structure, computed with PBE-GGA.

Lattice parameters (Å, degrees): 5.230 6.938 7.674 106.86 90.00 112.14
Atoms (fractional coordinates):
O  0.879  0.758  0.130
Zr  0.000  0.000  0.000
Rb  0.000  0.000  0.500
O  0.121  0.242  0.870
Rb  0.325  0.650  0.155
O  0.500  0.000  0.000
Rb  0.675  0.350  0.845
Rb  0.685  0.369  0.307
Rb  0.315  0.631  0.693
O  0.122  0.244  0.259
O  0.878  0.756  0.741

Values from the calculation:
Formation energy from raw total energies   -1.58 eV per atom
Final energy   -5.05 eV/atom
V   22.27 A^3/atom


Entry 22:
A geometry-optimized Rb2ZrO3 structure, computed with PBE-GGA.

Lattice parameters (Å, degrees): 5.971 7.468 10.966 90.00 90.00 90.00
Atoms (fractional coordinates):
O  0.206  0.404  0.750
Rb  0.242  0.609  0.413
O  0.794  0.596  0.250
O  0.294  0.904  0.250
Zr  0.735  0.837  0.750
Rb  0.758  0.391  0.587
O  0.009  0.241  0.374
Rb  0.742  0.891  0.413
O  0.491  0.741  0.874
Rb  0.258  0.109  0.587
O  0.706  0.096  0.750
Zr  0.235  0.663  0.750
O  0.491  0.741  0.626
Zr  0.765  0.337  0.250
Rb  0.242  0.609  0.087
Rb  0.258  0.109  0.913
Rb  0.758  0.391  0.913
O  0.991  0.759  0.626
Rb  0.742  0.891  0.087
Zr  0.265  0.163  0.250
O  0.991  0.759  0.874
O  0.509  0.259  0.374
O  0.009  0.241  0.126
O  0.509  0.259  0.126

Values from the calculation:
Formation energy from raw total energies   -2.41 eV per atom
Final energy   -6.63 eV/atom
V   20.38 A^3/atom